[1]
First-principles (PBE-GGA) data for Li2LaAu after structural relaxation, as listed in Alexandria.

The space group is P4/mmm (No. 123) and the conventional cell measures 4.250, 4.250 and 5.330 Å, with angles of 90.00, 90.00 and 90.00 degrees. The asymmetric unit holds Li at (0.000, 0.500, 0.000), La at (0.000, 0.000, 0.500) and Au at (0.500, 0.500, 0.500).

The total energy comes out at -13.2 eV for the cell shown. Its volume is 96 Å³/cell.



[2]
First-principles (PBE-GGA) data for Li2LaAu after structural relaxation, as listed in Alexandria.

The space group is C2/m (No. 12) and the conventional cell measures 9.907, 3.612 and 5.171 Å, with angles of 90.00, 104.30 and 90.00 degrees. The asymmetric unit holds Li at (0.222, 0.000, 0.167), La at (0.000, 0.000, 0.500) and Au at (0.000, 0.500, 0.000).

The total energy comes out at -26.7 eV for the cell shown. Its volume is 179 Å³/cell.



[3]
First-principles (PBE-GGA) data for Li2LaAu4 after structural relaxation, as listed in Alexandria.

The space group is Immm (No. 71) and the conventional cell measures 3.602, 4.501 and 18.283 Å, with angles of 90.00, 90.00 and 90.00 degrees. The asymmetric unit holds Li at (0.000, 0.000, 0.190), La at (0.000, 0.500, 0.000), Au at (0.000, 0.000, 0.335) and Au at (0.000, 0.500, 0.423).

The total energy comes out at -51.3 eV for the cell shown. Its volume is 296 Å³/cell.



[4]
First-principles (PBE-GGA) data for Li4La5Au4 after structural relaxation, as listed in Alexandria.

The space group is I4/m (No. 87) and the conventional cell measures 12.498, 12.498 and 4.168 Å, with angles of 90.00, 90.00 and 90.00 degrees. The asymmetric unit holds Li at (0.073, 0.595, 0.000), La at (0.000, 0.000, 0.500), La at (0.123, 0.213, 0.000) and Au at (0.065, 0.740, 0.500).

The total energy comes out at -104.1 eV for the cell shown. Its volume is 651 Å³/cell.



In the order shown, the computed spin magnetization values come out to 0.00, 0.00, 0.00, 0.00 μB per cell.